Entry 1:
Material: PuPa2Os
Method: DFT, PBE-GGA
State: relaxed

Lattice parameters (Å, degrees): 5.080 5.080 3.254 90.00 90.00 90.00
Fractional positions:
Pu1 0.000 0.000 0.000
Pa1 0.000 0.500 0.500
Pa2 0.500 0.000 0.500
Os1 0.500 0.500 0.000

Values from the calculation:
Total magnetic moment: 4.287 μB/cell
ΔE_f: -115 meV/atom
Space-group type: P4/mmm (123)
Energy above the most stable polymorph in this dataset: 10 meV per atom


Entry 2:
Material: Li2Zn2Pd
Method: DFT, PBE-GGA
State: relaxed

Lattice parameters (Å, degrees): 6.990 6.990 2.830 90.00 90.00 90.00
Fractional positions:
Li1 0.134 0.366 0.000
Li2 0.366 0.866 0.000
Li3 0.634 0.134 0.000
Li4 0.866 0.634 0.000
Zn1 0.164 0.664 0.500
Zn2 0.336 0.164 0.500
Zn3 0.664 0.836 0.500
Zn4 0.836 0.336 0.500
Pd1 0.000 0.000 0.000
Pd2 0.500 0.500 0.000

Values from the calculation:
Total magnetic moment: 0.000 μB/cell
ΔE_f: -186 meV/atom
Space-group type: P4/mbm (127)
Energy above the most stable polymorph in this dataset: 205 meV per atom


Entry 3:
Material: La2AgBr
Method: DFT, PBE-GGA
State: relaxed

Lattice parameters (Å, degrees): 3.732 3.732 10.181 90.00 90.00 110.36
Fractional positions:
La1 0.000 0.000 0.000
La2 0.500 0.500 0.288
Ag1 0.000 0.000 0.509
Br1 0.500 0.500 0.791

Values from the calculation:
Formation energy without anion corrections: -0.4291 eV/atom
Total magnetic moment: 0.000 μB/cell
Space-group type: Cmm2 (35)
Energy above the most stable polymorph in this dataset: 330 meV per atom


Entry 4:
Material: Tl2S8I
Method: DFT, PBE-GGA
State: relaxed

Lattice parameters (Å, degrees): 6.377 6.789 8.542 86.06 77.07 85.77
Fractional positions:
Tl1 0.226 0.215 0.011
Tl2 0.774 0.785 0.989
S1 0.110 0.620 0.187
S2 0.319 0.864 0.769
S3 0.323 0.826 0.174
S4 0.337 0.978 0.549
S5 0.663 0.022 0.451
S6 0.677 0.174 0.826
S7 0.681 0.136 0.231
S8 0.890 0.380 0.813
I1 0.000 0.500 0.500

Values from the calculation:
Formation energy without anion corrections: 0.0193 eV/atom
Total magnetic moment: 0.000 μB/cell
Space-group type: P-1 (2)


Question: What is the total magnetic moment in the second record?
Answer: 0.000 μB/cell